First-principles (GGA-PBE) data for an optimized crystal structure of CsCdIn2I8, as listed in Alexandria.

Geometry as extended XYZ:
```
12
Lattice="-1.4740 5.2489 -5.3782 1.5368 -1.5114 -7.3487 -10.7274 -3.1493 -5.5861" Properties=species:S:1:pos:R:3 pbc="T T T"
In -8.1060 0.3972 -13.7482
In -2.5586 0.1910 -4.5648
I -7.7937 -0.0950 -6.9578
I -7.8308 1.2682 -11.1194
I -2.3562 -1.1496 -9.4772
I -3.8065 2.7840 -10.7429
I -10.6502 -0.6432 -14.0663
I -0.0144 1.2314 -4.2467
I -6.3214 -2.7235 -10.1361
I -3.8851 1.6806 -6.5056
Cd -5.3323 0.2941 -9.1565
Cs 0.0000 0.0000 0.0000
```

***

First-principles (GGA-PBE) data for an optimized crystal structure of Cs3CdIn3I8, as listed in Alexandria.

Geometry as extended XYZ:
```
15
Lattice="-0.9554 10.2229 -2.7602 -8.5952 -5.5429 2.9224 7.2562 2.4728 6.6468" Properties=species:S:1:pos:R:3 pbc="T T T"
In 0.0000 0.0000 0.0000
In -4.7753 2.3400 0.0811
In -4.2976 -2.7715 1.4612
I -7.2232 3.3028 2.5050
I -2.7552 0.3397 2.2119
I 4.9288 3.8500 4.3040
I 4.3583 9.9546 2.6558
I 0.4609 6.8130 4.5971
I -6.6527 -2.8018 4.1533
I 1.4663 1.6176 5.4835
I -3.7607 5.5352 1.3256
Cs -1.1472 3.5764 3.4045
Cs 3.1504 6.3478 1.9433
Cs -0.6695 -1.5351 4.7846
Cd 3.6281 1.2364 3.3234
```

***

First-principles (GGA-PBE) data for an optimized crystal structure of CsCdIn2I5, as listed in Alexandria.

Geometry as extended XYZ:
```
18
Lattice="-6.1934 3.3248 -6.4631 -4.1443 -8.5911 -0.4482 -0.1430 4.8700 9.6965" Properties=species:S:1:pos:R:3 pbc="T T T"
In -5.6180 -6.1019 -2.5946
In -7.9438 -2.8416 -5.7428
In -4.7197 0.8356 -4.3166
In -2.3939 -2.4247 -1.1684
I -5.2678 4.1000 2.3371
I -8.1321 0.4964 -3.8261
I -2.3486 -0.8927 6.6113
I -6.2049 -0.8049 3.2976
I -4.2758 0.4086 -0.5124
I -1.4116 4.0122 5.6508
I -9.0691 -4.4085 -2.8656
I -5.2129 -4.4964 0.4481
I -5.1688 -2.6332 -3.4556
I 0.0000 0.0000 0.0000
Cd -4.7281 -3.1771 2.8963
Cd -5.7526 2.7808 -0.1111
Cs -2.6559 1.1184 3.1204
Cs -7.8248 -1.5147 -0.3352
```

***

First-principles (GGA-PBE) data for an optimized crystal structure of Cs2CdInI6, as listed in Alexandria.

Geometry as extended XYZ:
```
10
Lattice="8.6070 0.0000 0.0000 0.0000 8.6070 0.0000 4.3035 4.3035 6.1071" Properties=species:S:1:pos:R:3 pbc="T T T"
I 8.6070 8.6070 3.0746
I 6.4398 6.4398 0.0000
I 4.3035 4.3035 3.0324
I 2.1672 2.1672 0.0000
I 6.4398 2.1672 0.0000
I 2.1672 6.4398 0.0000
In 0.0000 0.0000 0.0000
Cs 4.3035 8.6070 3.0535
Cs 8.6070 4.3035 3.0535
Cd 4.3035 4.3035 0.0000
```

***

First-principles (GGA-PBE) data for an optimized crystal structure of Cs2CdIrI6, as listed in Alexandria.

Geometry as extended XYZ:
```
10
Lattice="8.3104 0.0000 0.0000 0.0000 8.3104 0.0000 4.1552 4.1552 5.8064" Properties=species:S:1:pos:R:3 pbc="T T T"
Cs 8.3104 4.1552 2.9032
Cs 4.1552 8.3104 2.9032
Cd 4.1552 4.1552 0.0000
I 4.1552 4.1552 3.0619
I 8.3104 8.3104 2.7445
I 1.9338 6.3767 0.0000
I 6.3767 1.9338 0.0000
I 6.3767 6.3767 0.0000
I 1.9338 1.9338 0.0000
Ir 0.0000 0.0000 0.0000
```

***

First-principles (GGA-PBE) data for an optimized crystal structure of Cs2KCdI6, as listed in Alexandria.

Geometry as extended XYZ:
```
10
Lattice="-0.6181 8.8199 1.4717 -3.2568 -1.5960 8.1966 3.9533 3.6335 7.1790" Properties=species:S:1:pos:R:3 pbc="T T T"
I -0.9103 1.6971 2.2714
I -2.6369 0.8510 6.6168
I -1.1078 7.2341 10.7698
I -2.9646 5.5269 7.3970
I 1.1862 3.6234 6.0775
I -1.2380 6.3729 3.0516
Cs 0.6989 8.0327 6.7424
Cs -0.6205 2.8248 10.1049
K -1.9375 3.6120 4.8342
Cd 0.0000 0.0000 0.0000
```

***

Results for uncorrected formation energy: -614 -896 -740 -928 -681 -986 (in meV per atom, following the order of the records).